[1]
VASP calculation (GGA-PBEsol) on SbP3 after structural relaxation.

abc: 5.189 5.189 5.189
angles: 90.00 90.00 90.00
Fractional coordinates of all 8 atoms:
P (0.500, 0.000, 0.250)
Sb (0.500, 0.500, 0.500)
P (0.250, 0.500, 0.000)
Sb (0.000, 0.000, 0.000)
P (0.000, 0.250, 0.500)
P (0.000, 0.750, 0.500)
P (0.500, 0.000, 0.750)
P (0.750, 0.500, 0.000)

Output
- VASP energy (Ry per atom) = -0.3500

=====

[2]
VASP calculation (GGA-PBEsol) on Mn2ZnCdSe after structural relaxation.

abc: 4.532 4.532 5.233
angles: 90.00 90.00 90.00
Last column: magnetic moment on the atom in μB.
Fractional coordinates of all 5 atoms:
Zn (0.500, 0.500, 0.500)  0.01
Cd (0.000, 0.000, 0.500)  0.00
Se (0.000, 0.000, 0.000)  -0.04
Mn (0.500, 0.000, 0.000)  3.53
Mn (0.000, 0.500, 0.000)  3.53

Output
- VASP energy (Ry per atom) = -0.3293

=====

[3]
VASP calculation (GGA-PBEsol) on LaGe2TeCl after structural relaxation.

abc: 5.185 5.185 6.078
angles: 90.00 90.00 90.00
Fractional coordinates of all 5 atoms:
Ge (0.000, 0.500, 0.000)
La (0.000, 0.000, 0.500)
Ge (0.500, 0.000, 0.000)
Cl (0.500, 0.500, 0.500)
Te (0.000, 0.000, 0.000)

Output
- VASP energy (Ry per atom) = -0.2948

=====

[4]
VASP calculation (GGA-PBEsol) on CaTeN2 after structural relaxation.

abc: 5.090 5.090 6.630
angles: 112.57 112.57 90.00
Fractional coordinates of all 8 atoms:
Ca (0.750, 0.250, 0.500)
N (0.912, 0.375, 0.250)
N (0.338, 0.875, 0.250)
Ca (0.500, 0.500, 0.000)
Te (0.250, 0.750, 0.500)
Te (0.000, 0.000, 0.000)
N (0.125, 0.088, 0.750)
N (0.625, 0.662, 0.750)

Output
- VASP energy (Ry per atom) = -0.4102

=====

[5]
VASP calculation (GGA-PBEsol) on SrReN3 after structural relaxation.

abc: 6.189 7.517 7.517
angles: 86.90 77.83 77.83
Fractional coordinates of all 20 atoms:
Re (0.248, 0.623, 0.796)
Re (0.252, 0.204, 0.377)
Sr (0.750, 0.317, 0.683)
N (0.164, 0.768, 0.988)
N (0.994, 0.366, 0.326)
N (0.336, 0.012, 0.232)
N (0.494, 0.326, 0.366)
Sr (0.750, 0.910, 0.090)
Sr (0.250, 0.090, 0.910)
N (0.006, 0.634, 0.674)
Sr (0.250, 0.683, 0.317)
N (0.836, 0.232, 0.012)
Re (0.748, 0.796, 0.623)
N (0.837, 0.871, 0.401)
N (0.664, 0.988, 0.768)
N (0.337, 0.401, 0.871)
N (0.163, 0.129, 0.599)
Re (0.752, 0.377, 0.204)
N (0.663, 0.599, 0.129)
N (0.506, 0.674, 0.634)

Output
- VASP energy (Ry per atom) = -0.6411

=====

[6]
VASP calculation (GGA-PBEsol) on Ba2LiCu3O6 after structural relaxation.

abc: 7.006 7.006 8.120
angles: 107.06 107.06 108.66
Last column: magnetic moment on the atom in μB.
Fractional coordinates of all 24 atoms:
Cu (0.690, 0.690, 0.696)  0.41
O (0.703, 0.481, 0.805)  0.13
O (0.304, 0.077, 0.381)  0.17
Cu (0.006, 0.006, 0.696)  0.41
O (0.297, 0.519, 0.195)  0.13
Cu (0.676, 0.676, 0.000)  0.18
O (0.323, 0.102, 0.805)  0.13
Cu (0.324, 0.324, 0.000)  0.18
O (0.519, 0.297, 0.195)  0.13
O (0.077, 0.304, 0.381)  0.17
O (0.677, 0.898, 0.195)  0.13
O (0.898, 0.677, 0.195)  0.13
Li (0.335, 0.335, 0.670)  0.00
Ba (0.229, 0.771, 0.000)  0.02
Ba (0.771, 0.229, 0.000)  0.02
Ba (0.250, 0.750, 0.500)  0.03
Li (0.665, 0.665, 0.330)  0.00
Ba (0.750, 0.250, 0.500)  0.03
O (0.102, 0.323, 0.805)  0.13
O (0.696, 0.923, 0.619)  0.17
Cu (0.310, 0.310, 0.304)  0.41
O (0.481, 0.703, 0.805)  0.13
O (0.923, 0.696, 0.619)  0.17
Cu (0.994, 0.994, 0.304)  0.41

Output
- VASP energy (Ry per atom) = -0.4202